SbMo2Cl, relaxed, DFT PBE; polymorph energy (0 for the lowest one) = 864 meV/atom
1.0
2.778 -4.630 0.000
2.778 4.630 0.000
-1.746 0.000 2.867
Sb Mo Cl
1 2 1
Cartesian
0.000 0.000 0.000
0.516 2.315 1.434
0.516 -2.315 1.434
2.778 0.000 0.000

***

Hf2CdPd4, relaxed, DFT PBE; E_form = -0.543 eV/atom
1.0
5.697 0.000 0.000
-0.464 7.073 0.000
-1.192 -3.513 6.180
Hf Cd Pd
4 2 8
Cartesian
0.000 0.000 0.000
-0.566 4.532 3.244
1.657 -3.275 6.090
3.770 -0.194 5.312
1.523 0.038 2.774
3.005 2.538 1.845
0.191 2.249 1.497
-0.234 2.043 4.327
0.931 4.873 0.958
0.752 -0.791 5.349
2.406 4.826 3.737
2.561 2.049 4.430
3.661 4.965 0.939
4.375 0.070 2.614

***

LiLa4Y3S8, relaxed, DFT PBE; E = -6.6553 eV/atom
1.0
4.016 2.318 6.617
-4.016 2.318 6.617
0.000 -4.637 6.617
Li La Y S
1 4 3 8
Cartesian
0.000 0.000 0.000
-4.016 0.000 9.925
-2.008 1.159 3.308
2.008 1.159 3.308
0.000 0.000 9.925
-2.008 -1.159 6.617
-2.008 1.159 13.234
0.000 2.318 6.617
0.000 -2.345 8.127
-2.031 1.173 8.127
-2.031 -1.173 11.724
0.000 0.000 5.085
0.000 0.000 14.765
2.031 1.173 8.127
2.031 -1.173 11.724
0.000 2.345 11.724

***

MoRu, relaxed, DFT PBE; E_form = 1.023 eV/atom
1.0
4.336 0.000 0.000
-2.168 3.755 0.000
0.000 0.000 4.919
Mo Ru
2 2
Cartesian
0.000 2.503 1.230
2.168 1.252 3.689
0.000 2.503 3.689
2.168 1.252 1.230

***

Ho3Ga2Pd7, relaxed, DFT PBE; E_form = -0.837 eV/atom
1.0
2.077 -13.701 0.000
2.077 13.701 0.000
0.000 0.000 3.959
Ho Ga Pd
3 2 7
Cartesian
0.000 0.000 0.000
2.077 8.682 0.000
2.077 -8.682 0.000
2.077 3.577 1.979
2.077 -3.577 1.979
2.077 11.525 1.979
2.077 6.025 1.979
2.077 2.102 0.000
2.077 0.000 1.979
2.077 -2.102 0.000
2.077 -6.025 1.979
2.077 -11.525 1.979

***

K3Zn2Bi4, relaxed, DFT PBE; E_form = -0.252 eV/atom
1.0
6.530 -2.435 0.000
6.530 2.435 0.000
-0.839 0.000 9.319
K Zn Bi
3 2 4
Cartesian
0.000 0.000 0.000
4.988 0.000 2.696
7.233 0.000 6.623
3.076 0.000 5.618
9.144 0.000 3.701
1.013 0.000 3.640
3.085 0.000 8.463
9.135 0.000 0.856
11.208 0.000 5.679